1.
Compound: LiTaBe2
Source: the Alexandria database
Functional: GGA-PBEsol
Structure: relaxed

Properties
- energy of formation from the pure elements (meV/atom) = 242
- E_tot (eV for the cell shown) = -21.550
- crystal system = monoclinic

a b c (Å): 2.437 4.578 4.880
angles (deg): 106.50 104.46 90.00
Fractional coordinates of all 4 atoms:
Li 0.476 0.433 0.953
Be 0.029 0.963 0.057
Be 0.717 0.286 0.435
Ta 0.277 0.817 0.555

2.
Compound: LiLaBr2
Source: the Alexandria database
Functional: GGA-PBEsol
Structure: relaxed

Properties
- E_tot (eV for the cell shown) = -15.549
- energy above the lowest structure with this stoichiometry (meV per atom) = 325
- crystal system = tetragonal
- E_form (uncorrected) (eV/atom) = -1.124

a b c (Å): 4.117 4.117 6.674
angles (deg): 107.96 107.96 90.00
Fractional coordinates of all 4 atoms:
Br 0.000 0.000 0.000
Br 0.750 0.250 0.500
Li 0.250 0.750 0.500
La 0.500 0.500 0.000

3.
Compound: CaHg3
Source: the Alexandria database
Functional: GGA-PBEsol
Structure: relaxed

Properties
- energy of formation from the pure elements (meV/atom) = -443
- E_tot (eV for the cell shown) = -5.604
- crystal system = tetragonal

a b c (Å): 4.740 4.740 5.316
angles (deg): 116.47 116.47 90.00
Fractional coordinates of all 4 atoms:
Hg 0.500 0.500 0.000
Hg 0.250 0.750 0.500
Hg 0.750 0.250 0.500
Ca 0.000 0.000 0.000

The highest E_tot belongs to which entry? CaHg3

Among the records above, which one has the lowest E_tot? LiTaBe2

Repeat the first record exactly.
Compound: LiTaBe2
Source: the Alexandria database
Functional: GGA-PBEsol
Structure: relaxed

Properties
- energy of formation from the pure elements (meV/atom) = 242
- E_tot (eV for the cell shown) = -21.550
- crystal system = monoclinic

a b c (Å): 2.437 4.578 4.880
angles (deg): 106.50 104.46 90.00
Fractional coordinates of all 4 atoms:
Li 0.476 0.433 0.953
Be 0.029 0.963 0.057
Be 0.717 0.286 0.435
Ta 0.277 0.817 0.555

The highest E_tot belongs to which entry? CaHg3